A relaxed structure of CsMnRuCl6. Source: the Alexandria database, functional PBE.

a b c (Å): 6.4193 6.4192 7.8771
angles (deg): 90.00 90.00 60.00
With the nearest neighbours (Å) after each atom.
Fractional positions:
Cl: 0.3584 0.0161 0.6727  1 Ru 2.39, 1 Mn 2.52
Cl: 0.6255 0.3584 0.6727  1 Ru 2.39, 1 Mn 2.52
Cl: 0.3584 0.6255 0.3273  1 Ru 2.39, 1 Mn 2.52
Cl: 0.0161 0.3585 0.3273  1 Ru 2.39, 1 Mn 2.52
Cl: 0.0161 0.6255 0.6727  1 Ru 2.39, 1 Mn 2.52
Cl: 0.6254 0.0161 0.3273  1 Ru 2.39, 1 Mn 2.52
Ru: 0.3333 0.3333 0.5000  6 Cl 2.39
Cs: 0.9999 0.0000 0.0000  6 Cl 3.49
Mn: 0.6667 0.6667 0.5000  6 Cl 2.52

=====

A relaxed structure of CsMnSCl2. Source: the Alexandria database, functional PBE.

Values from the calculation:
The value obtained for the polymorph energy (0 for the lowest one) is 0 meV/atom.

a b c (Å): 5.2586 5.2586 4.6430
angles (deg): 90.00 90.00 90.00
With the nearest neighbours (Å) after each atom.
Fractional positions:
Cl: 0.0000 0.5000 0.0000  2 Mn 2.63
Cl: 0.5000 0.0000 0.0000  2 Mn 2.63
Cs: 0.5000 0.5000 0.5000  8 Cl 3.51, 4 S 3.72
S: 0.0000 0.0000 0.5000  2 Mn 2.32
Mn: 0.0000 0.0000 0.0000  2 S 2.32

=====

A relaxed structure of CsMnS2Cl. Source: the Alexandria database, functional PBE.

Values from the calculation:
The value obtained for the polymorph energy (0 for the lowest one) is 0 meV/atom.

a b c (Å): 4.7056 4.7056 5.5231
angles (deg): 90.00 90.00 90.00
With the nearest neighbours (Å) after each atom.
Fractional positions:
Cl: 0.0000 0.0000 0.5000  2 Mn 2.76
Cs: 0.5000 0.5000 0.5000  4 Cl 3.33, 8 S 3.63
S: 0.5000 0.0000 0.0000  2 Mn 2.35
S: 0.0000 0.5000 0.0000  2 Mn 2.35
Mn: 0.0000 0.0000 0.0000  4 S 2.35

=====

A relaxed structure of CsMnSCl2. Source: the Alexandria database, functional PBE.

Values from the calculation:
The value obtained for the polymorph energy (0 for the lowest one) is 1527 meV/atom.

a b c (Å): 6.0369 6.0369 5.4818
angles (deg): 90.00 90.00 90.00
With the nearest neighbours (Å) after each atom.
Fractional positions:
Cl: 0.5000 0.0000 0.0000  2 Cs 3.02
Cl: 0.0000 0.5000 0.0000  2 Cs 3.02
Cs: 0.0000 0.0000 0.0000  2 S 2.74, 4 Cl 3.02
S: 0.0000 0.0000 0.5000  2 Cs 2.74
Mn: 0.5000 0.5000 0.5000  8 Cl 4.08, 4 S 4.27

=====

A relaxed structure of CsMnS2Cl. Source: the Alexandria database, functional PBE.

Values from the calculation:
The value obtained for the polymorph energy (0 for the lowest one) is 1630 meV/atom.

a b c (Å): 5.4376 5.4376 6.0983
angles (deg): 90.00 90.00 90.00
With the nearest neighbours (Å) after each atom.
Fractional positions:
Mn: 0.5000 0.5000 0.5000  4 Cl 3.84, 8 S 4.09
S: 0.5000 0.0000 0.0000  2 Cs 2.72
S: 0.0000 0.5000 0.0000  2 Cs 2.72
Cs: 0.0000 0.0000 0.0000  4 S 2.72
Cl: 0.0000 0.0000 0.5000  2 Cs 3.05

=====

A relaxed structure of Cs2MnSCl6. Source: the Alexandria database, functional PBE.

a b c (Å): 7.1420 7.1420 7.7977
angles (deg): 62.74 62.74 90.00
With the nearest neighbours (Å) after each atom.
Fractional positions:
Cl: 0.8054 0.8054 0.3893  1 Mn 2.31
Cl: 0.7364 0.7364 0.0000  1 S 2.39, 1 Mn 2.66
Cl: 0.2636 0.7364 0.0000  1 S 2.39, 1 Mn 2.66
Cl: 0.1946 0.1946 0.6107  1 Mn 2.31
Cl: 0.2636 0.2636 0.0000  1 S 2.39, 1 Mn 2.66
Cl: 0.7364 0.2636 0.0000  1 S 2.39, 1 Mn 2.66
Mn: 0.0000 0.0000 0.0000  2 Cl 2.31
S: 0.5000 0.5000 0.0000  4 Cl 2.39
Cs: 0.7500 0.2500 0.5000  12 Cl 3.63-3.90
Cs: 0.2500 0.7500 0.5000  12 Cl 3.63-3.90

=====

A relaxed structure of CsMnSbCl6. Source: the Alexandria database, functional PBE.

a b c (Å): 6.8776 6.8777 7.7615
angles (deg): 90.00 90.00 60.00
With the nearest neighbours (Å) after each atom.
Fractional positions:
Mn: 0.6667 0.6666 0.5001  6 Cl 2.55-2.56
Cl: 0.6284 0.9858 0.3080  1 Mn 2.56, 1 Sb 2.68
Cl: 0.9858 0.3858 0.3080  1 Mn 2.56, 1 Sb 2.68
Cl: 0.3857 0.6284 0.3080  1 Mn 2.56, 1 Sb 2.68
Cl: 0.6284 0.3858 0.6920  1 Mn 2.56, 1 Sb 2.68
Cl: 0.3858 0.9858 0.6920  1 Mn 2.56, 1 Sb 2.68
Cl: 0.9858 0.6284 0.6920  1 Mn 2.55, 1 Sb 2.68
Sb: 0.3333 0.3334 0.5000  6 Cl 2.68
Cs: 0.0000 0.0000 0.0000  6 Cl 3.54

=====

A relaxed structure of Cs2MnSbCl6. Source: the Alexandria database, functional PBE.

a b c (Å): 7.5206 7.5206 7.8982
angles (deg): 61.57 61.57 90.00
With the nearest neighbours (Å) after each atom.
Fractional positions:
Cs: 0.2500 0.7500 0.5000  12 Cl 3.80-3.95
Cs: 0.7500 0.2500 0.5000  12 Cl 3.80-3.95
Cl: 0.7486 0.2514 0.0000  1 Mn 2.64, 1 Sb 2.67
Cl: 0.2514 0.7486 0.0000  1 Mn 2.64, 1 Sb 2.67
Cl: 0.2968 0.2968 0.4063  1 Mn 2.37
Cl: 0.2514 0.2514 0.0000  1 Mn 2.64, 1 Sb 2.67
Cl: 0.7486 0.7486 0.0000  1 Mn 2.64, 1 Sb 2.67
Cl: 0.7032 0.7032 0.5937  1 Mn 2.37
Mn: 0.5000 0.5000 0.0000  6 Cl 2.37-2.64
Sb: 0.0000 0.0000 0.0000  4 Cl 2.67

=====

A relaxed structure of CsMn2SbCl8. Source: the Alexandria database, functional PBE.

a b c (Å): 6.4901 6.4901 11.5604
angles (deg): 73.70 73.70 60.00
With the nearest neighbours (Å) after each atom.
Fractional positions:
Cl: 0.8676 0.5621 0.3401  1 Mn 2.38
Cl: 0.6876 0.6876 0.9372  1 Mn 2.28
Cl: 0.4379 0.1324 0.6599  1 Mn 2.38
Cl: 0.3124 0.3124 0.0628  1 Mn 2.28
Cl: 0.5621 0.2303 0.3401  1 Mn 2.38
Cl: 0.1324 0.7697 0.6599  1 Mn 2.38
Cl: 0.2303 0.8676 0.3401  1 Mn 2.38
Cl: 0.7697 0.4379 0.6599  1 Mn 2.38
Cs: 0.0000 0.0000 0.0000  6 Cl 3.81
Sb: 0.5000 0.5000 0.5000  6 Cl 2.71
Mn: 0.2430 0.2430 0.2709  4 Cl 2.28-2.38
Mn: 0.7570 0.7570 0.7291  4 Cl 2.28-2.38

=====

A relaxed structure of CsSc2MnCl8. Source: the Alexandria database, functional PBE.

a b c (Å): 6.6157 6.6157 10.4400
angles (deg): 71.53 71.53 60.00
With the nearest neighbours (Å) after each atom.
Fractional positions:
Cl: 0.3567 0.7249 0.8477  1 Sc 2.41, 1 Mn 2.56
Cl: 0.6433 0.2751 0.1523  1 Sc 2.41, 1 Mn 2.56
Cl: 0.1849 0.1849 0.4453  1 Sc 2.36
Cl: 0.8151 0.8151 0.5547  1 Sc 2.36
Cl: 0.0708 0.3567 0.8477  1 Sc 2.41, 1 Mn 2.56
Cl: 0.2751 0.9292 0.1523  1 Sc 2.41, 1 Mn 2.56
Cl: 0.9292 0.6433 0.1523  1 Sc 2.41, 1 Mn 2.56
Cl: 0.7249 0.0708 0.8477  1 Sc 2.41, 1 Mn 2.56
Sc: 0.2659 0.2659 0.2022  4 Cl 2.36-2.41
Sc: 0.7341 0.7341 0.7978  4 Cl 2.36-2.41
Mn: 0.0000 0.0000 0.0000  6 Cl 2.56
Cs: 0.5000 0.5000 0.5000  12 Cl 3.86-4.01

=====

A relaxed structure of Cs2MnSeCl6. Source: the Alexandria database, functional PBE.

a b c (Å): 7.8513 7.8513 7.6166
angles (deg): 58.98 58.98 90.00
With the nearest neighbours (Å) after each atom.
Fractional positions:
Mn: 0.5000 0.5000 0.0000  4 Cl 2.30
Cl: 0.2315 0.2315 0.5369  1 Se 2.41
Cl: 0.7685 0.7685 0.4631  1 Se 2.41
Cl: 0.2932 0.2932 0.0000  1 Mn 2.30
Cl: 0.7068 0.7068 0.0000  1 Mn 2.30
Cl: 0.2932 0.7068 0.0000  1 Mn 2.30
Cl: 0.7068 0.2932 0.0000  1 Mn 2.30
Se: 0.0000 0.0000 0.0000  2 Cl 2.41
Cs: 0.2500 0.7500 0.5000  12 Cl 3.84-3.93
Cs: 0.7500 0.2500 0.5000  12 Cl 3.84-3.93

=====

A relaxed structure of CsMnSeCl2. Source: the Alexandria database, functional PBE.

a b c (Å): 5.2312 5.2312 4.9697
angles (deg): 90.00 90.00 90.00
With the nearest neighbours (Å) after each atom.
Fractional positions:
Cs: 0.5000 0.5000 0.5000  8 Cl 3.61, 4 Se 3.70
Mn: 0.0000 0.0000 0.0000  2 Se 2.48, 4 Cl 2.62
Cl: 0.0000 0.5000 0.0000  2 Mn 2.62
Cl: 0.5000 0.0000 0.0000  2 Mn 2.62
Se: 0.0000 0.0000 0.5000  2 Mn 2.48

=====

The records above yield uncorrected formation energy values of -1.045, -1.055, -0.710, 0.472, 0.919, -1.121, -1.227, -1.294, -1.125, -1.706, -1.167, -1.032 eV per atom, respectively.